[1]
Entry from OQMD via LeMat-Bulk: a relaxed structure of AcPuRe (PBE-GGA).

```
AcPuRe
1.0
0.939 -2.229 4.239
-3.103 0.460 3.739
-2.708 -3.809 1.407
Pu Re Ac
1 1 1
direct
0.250 0.250 0.250
0.000 0.000 0.000
0.750 0.750 0.750
```

Calculated values
Polymorph energy (0 for the lowest one) (kJ/mol of formula units): 0.0



[2]
Entry from OQMD via LeMat-Bulk: a relaxed structure of Rb2HoScO4 (PBE-GGA).

```
Rb2HoScO4
1.0
3.356 0.000 0.000
-1.678 2.906 0.000
0.000 0.000 12.825
O Ho Sc Rb
4 1 1 2
direct
0.333 0.667 0.418
0.667 0.333 0.582
0.667 0.333 0.909
0.333 0.667 0.091
0.000 0.000 0.000
0.000 0.000 0.500
0.333 0.667 0.746
0.667 0.333 0.254
```

Calculated values
Total DFT energy (no corrections) (eV/atom): -6.741



Sequential M_tot output: 5.2; 0.0 Bohr magnetons per cell
Sequential calculated volume output: 82.20; 125.08 Å³ per cell